1.
A plane-wave DFT calculation with PBE-GGA was carried out for a geometry-optimized LiLa4Si structure.

Values from the calculation:
ΔE_f (raw)	0.395	eV per atom
symmetry	F-43m
DOS(E_F)	7.748	states/eV/cell
spin magnetization	0.0	μB per cell

Cell: 6.4397 6.4397 6.4397 Å, 60.00 60.00 60.00°
Fractional coordinates of all 6 atoms:
1 La 0.8861 0.3713 0.3713
2 La 0.3713 0.3713 0.3713
3 Si 0.0000 0.0000 0.0000
4 La 0.3713 0.8861 0.3713
5 Li 0.7500 0.7500 0.7500
6 La 0.3713 0.3713 0.8861

2.
A plane-wave DFT calculation with PBE-GGA was carried out for a geometry-optimized CsRbPd structure.

Values from the calculation:
symmetry	I4mm
DOS(E_F)	3.058	states/eV/cell
relative energy among the computed polymorphs	148	meV per atom
ΔH_f (0 K)	0.189	eV/atom
spin magnetization	0.0	μB per cell

Cell: 4.3179 4.3179 8.3691 Å, 104.95 104.95 90.00°
Fractional coordinates of all 3 atoms:
1 Cs 0.3303 0.3303 0.6607
2 Rb 0.5662 0.5662 0.1325
3 Pd 0.9534 0.9534 0.9068

3.
A plane-wave DFT calculation with PBE-GGA was carried out for a geometry-optimized BaLa2Pb structure.

Values from the calculation:
symmetry	Immm
DOS(E_F)	5.721	states/eV/cell
ΔH_f (0 K)	-0.223	eV/atom
spin magnetization	0.0	μB per cell

Cell: 7.0584 7.0584 7.0584 Å, 143.21 131.14 62.69°
Fractional coordinates of all 4 atoms:
1 La 0.9594 0.9594 0.0000
2 Pb 0.7500 0.2500 0.5000
3 La 0.5406 0.5406 0.0000
4 Ba 0.2500 0.7500 0.5000

4.
A plane-wave DFT calculation with PBE-GGA was carried out for a geometry-optimized KCdInBrO structure.

Values from the calculation:
ΔE_f (raw)	-0.959	eV per atom
symmetry	Cm
DOS(E_F)	4.129	states/eV/cell
relative energy among the computed polymorphs	0	meV per atom
spin magnetization	0.0	μB per cell

Cell: 6.9806 4.5069 10.4918 Å, 90.00 108.66 90.00°
Fractional coordinates of all 10 atoms:
1 K 0.1072 0.5000 0.3111
2 O 0.3343 0.5000 0.8481
3 Br 0.8801 0.0000 0.4715
4 Cd 0.5050 0.0000 0.2105
5 K 0.1072 0.0000 0.8111
6 Cd 0.5050 0.5000 0.7105
7 Br 0.8801 0.5000 0.9715
8 O 0.3343 0.0000 0.3481
9 In 0.5186 0.0000 0.5452
10 In 0.5186 0.5000 0.0452

5.
A plane-wave DFT calculation with PBE-GGA was carried out for a geometry-optimized HoPu3Np4S8 structure.

Values from the calculation:
ΔE_f (raw)	-1.578	eV per atom
symmetry	C2/m
DOS(E_F)	52.214	states/eV/cell
spin magnetization	24.7	μB per cell

Cell: 7.8378 7.8349 7.8318 Å, 119.93 120.03 90.00°
Fractional coordinates of all 16 atoms:
1 S 0.7495 0.2479 0.4990
2 S 0.2505 0.7521 0.5010
3 S 0.2497 0.2503 0.9987
4 Np 0.0000 0.0000 0.0000
5 Pu 0.5000 0.5000 0.5000
6 Ho 0.0000 0.5000 0.0000
7 S 0.7483 0.7502 0.4967
8 Np 0.5000 0.0000 0.0000
9 Np 0.5000 0.0000 0.5000
10 Np 0.0000 0.0000 0.5000
11 Pu 0.0000 0.5000 0.5000
12 S 0.7490 0.2503 0.9987
13 Pu 0.5000 0.5000 0.0000
14 S 0.2517 0.2498 0.5033
15 S 0.7503 0.7497 0.0013
16 S 0.2510 0.7497 0.0013

6.
A plane-wave DFT calculation with PBE-GGA was carried out for a geometry-optimized NdZrAl structure.

Values from the calculation:
symmetry	P-6m2
DOS(E_F)	3.736	states/eV/cell
relative energy among the computed polymorphs	273	meV per atom
ΔH_f (0 K)	0.093	eV/atom
spin magnetization	0.0	μB per cell

Cell: 3.0916 5.1125 5.1125 Å, 120.00 90.00 90.00°
Fractional coordinates of all 3 atoms:
1 Al 0.6661 0.6667 0.3333
2 Zr 0.1678 0.3333 0.6667
3 Nd 0.1662 0.0000 0.0000

7.
A plane-wave DFT calculation with PBE-GGA was carried out for a geometry-optimized Ag2SbS2Cl2 structure.

Values from the calculation:
ΔE_f (raw)	-0.233	eV per atom
symmetry	P-1
DOS(E_F)	4.226	states/eV/cell
spin magnetization	0.0	μB per cell

Cell: 4.2419 7.6762 8.0274 Å, 62.88 58.34 74.17°
Fractional coordinates of all 7 atoms:
1 Ag 0.2219 0.6203 0.4685
2 Cl 0.3318 0.2081 0.0658
3 Ag 0.7781 0.3797 0.5315
4 S 0.3181 0.2168 0.5722
5 Sb 0.0000 0.0000 0.0000
6 S 0.6819 0.7832 0.4278
7 Cl 0.6682 0.7919 0.9342

8.
A plane-wave DFT calculation with PBE-GGA was carried out for a geometry-optimized NdScTlAg structure.

Values from the calculation:
symmetry	F-43m
DOS(E_F)	3.747	states/eV/cell
relative energy among the computed polymorphs	21	meV per atom
ΔH_f (0 K)	-0.280	eV/atom
spin magnetization	0.4	μB per cell

Cell: 5.2251 5.2251 5.2251 Å, 60.00 60.00 60.00°
Fractional coordinates of all 4 atoms:
1 Ag 0.2500 0.2500 0.2500
2 Sc 0.5000 0.5000 0.5000
3 Nd 0.0000 0.0000 0.0000
4 Tl 0.7500 0.7500 0.7500

- Among the records above, which one has the highest DOS(E_F)?
  HoPu3Np4S8